VASP calculation (GGA-PBE) on an optimized crystal structure of TbCe2NdS5.

Unit cell a=4.928 b=4.928 c=10.553 alpha=90.00 beta=90.00 gamma=90.00
Space group P4/mmm (No. 123)
Inequivalent atoms, fractional coordinates:
Tb1 0.000 0.000 0.000
Ce1 0.500 0.500 0.191
Nd1 0.000 0.000 0.500
S1 0.000 0.000 0.251
S2 0.000 0.500 0.000
S3 0.500 0.500 0.500

Properties
calculated volume	28.47	Å³ per atom
E_form (uncorrected)	-1.47	eV per atom
size of the total moment	3.3	μB/cell